Record 1
Below is La11Dy4Th9 after structural relaxation, with properties calculated at the GGA-PBE level.

Cell and atoms, written as POSCAR:
```
La11Dy4Th9
1.0
3.626 0.000 0.000
0.000 14.448 -6.768
0.000 -0.546 15.946
La Dy Th
11 4 9
Cartesian
0.000 0.202 6.207
0.000 2.248 11.714
0.000 2.960 1.954
0.000 13.701 2.971
0.000 8.702 1.937
0.000 0.000 0.000
0.000 8.116 11.431
0.000 5.786 -2.254
0.000 5.201 7.241
0.000 11.655 -2.536
0.000 10.943 7.224
1.813 5.832 0.944
1.813 8.070 8.233
1.813 10.742 4.185
1.813 3.160 4.992
1.813 8.743 -1.271
1.813 0.098 3.116
1.813 6.951 4.589
1.813 13.804 6.061
1.813 2.904 -1.134
1.813 11.635 0.638
1.813 2.267 8.539
1.813 10.999 10.312
1.813 5.159 10.448
```

Summary:
Formation enthalpy at 0 K, kJ/mol of atoms: 10.9
Volume, Å³/cell: 822
DOS(E_F), states/eV/cell: 35.33



Record 2
Below is LiGa6Pt5 after structural relaxation, with properties calculated at the GGA-PBE level.

Cell and atoms, written as POSCAR:
```
LiGa6Pt5
1.0
7.012 -0.265 0.000
1.772 5.030 0.000
0.886 2.515 5.726
Pt Li Ga
5 1 6
Cartesian
4.392 2.383 4.367
0.886 2.515 2.094
1.772 5.030 3.632
4.392 2.383 0.000
5.278 4.898 1.359
0.000 0.000 0.000
6.752 3.136 0.000
5.429 1.324 2.255
6.315 3.839 3.471
2.032 1.629 0.000
3.355 3.441 2.255
4.241 5.956 3.471
```

Summary:
Formation enthalpy at 0 K, kJ/mol of atoms: -48.9
Volume, Å³/cell: 205
DOS(E_F), states/eV/cell: 3.92



Record 3
Below is SmTm2RuO8 after structural relaxation, with properties calculated at the GGA-PBE level.

Cell and atoms, written as POSCAR:
```
SmTm2RuO8
1.0
-2.406 3.565 -2.589
-1.581 -3.436 -3.279
-5.539 -1.022 3.741
O Ru Sm Tm
8 1 1 2
Cartesian
-4.026 -0.462 0.023
-1.076 0.040 -1.582
-6.653 1.442 0.245
-6.128 -2.935 -0.174
-3.397 2.043 -1.953
-2.873 -2.335 -2.372
-5.499 -0.430 -2.150
-8.449 -0.933 -0.544
0.000 0.000 0.000
-2.770 -0.511 1.870
-6.143 -0.701 -0.131
-3.383 -0.192 -1.996
```

Summary:
Raw formation energy, meV per atom: -2405
Volume, Å³/cell: 170
DOS(E_F), states/eV/cell: 3.59